Below is an optimized crystal structure of PrSmNi, with properties calculated at the PBE level.

Structure (POSCAR):
```
PrSmNi
1.0
4.608 0.000 0.000
-2.304 3.990 0.000
0.000 0.000 5.515
Sm Pr Ni
1 1 1
direct
0.333 0.667 0.500
0.667 0.333 0.000
0.667 0.333 0.500
```

calculated formation energy	194	meV per atom
offset from the most stable computed form	1.20	eV per formula unit

=====

Below is an optimized crystal structure of LiAg2Sn8, with properties calculated at the PBE level.

Structure (POSCAR):
```
LiAg2Sn8
1.0
5.074 -0.060 -0.090
-0.921 7.828 -0.073
-0.921 -3.082 7.196
Sn Ag Li
8 2 1
direct
0.896 0.683 0.936
0.104 0.064 0.317
0.500 0.237 0.763
0.359 0.642 0.642
0.896 0.936 0.683
0.104 0.317 0.064
0.641 0.358 0.358
0.500 0.763 0.237
0.000 0.336 0.664
0.000 0.664 0.336
0.500 0.000 0.000
```

calculated formation energy	39	meV per atom

=====

Below is an optimized crystal structure of ErIn4Cl7, with properties calculated at the PBE level.

Structure (POSCAR):
```
ErIn4Cl7
1.0
-3.683 3.280 -1.642
-1.247 -4.414 -6.019
-4.400 -4.342 9.421
Cl In Er
7 4 1
direct
0.919 0.178 0.838
0.104 0.325 0.207
0.500 0.000 0.000
0.896 0.675 0.793
0.279 0.213 0.557
0.081 0.822 0.162
0.721 0.787 0.443
0.306 0.859 0.612
0.415 0.455 0.831
0.585 0.545 0.169
0.694 0.141 0.388
0.000 0.000 0.000
```

formation energy from raw total energies	-1.299	eV per atom